## La2DyCo (PBE)

Data for La2DyCo after structural relaxation.

```
data_La2DyCo
_chemical_formula_sum 'La6 Dy3 Co3'
_symmetry_space_group_name_H-M 'R 3 m'
_symmetry_Int_Tables_number 160
_symmetry_space_group_name_Hall 'R 3 -2"'
_cell_length_a 3.8929
_cell_length_b 3.8929
_cell_length_c 27.7942
_cell_angle_alpha 90.00
_cell_angle_beta 90.00
_cell_angle_gamma 120.00
loop_
_atom_site_label
_atom_site_fract_x
_atom_site_fract_y
_atom_site_fract_z
La1 0.0000 0.0000 0.0000
La2 0.0000 0.0000 0.2183
Dy1 0.0000 0.0000 0.4428
Co1 0.0000 0.0000 0.6083
```

Output
- energy above the lowest structure with this stoichiometry (eV per atom) = 0.136
- ΔE_f (eV/atom) = 0.03

---

## NaRhSN2 (PBE)

Data for NaRhSN2 after structural relaxation.

```
data_NaRhSN2
_chemical_formula_sum 'Na1 Rh1 S1 N2'
_symmetry_space_group_name_H-M 'P 4/m m m'
_symmetry_Int_Tables_number 123
_symmetry_space_group_name_Hall '-P 4 2'
_cell_length_a 4.1238
_cell_length_b 4.1238
_cell_length_c 5.2205
_cell_angle_alpha 90.00
_cell_angle_beta 90.00
_cell_angle_gamma 90.00
loop_
_atom_site_label
_atom_site_fract_x
_atom_site_fract_y
_atom_site_fract_z
Na1 0.0000 0.0000 0.0000
Rh1 0.5000 0.5000 0.5000
S1 0.0000 0.0000 0.5000
N1 0.0000 0.5000 0.0000
```

Output
- energy above the lowest structure with this stoichiometry (eV per atom) = 1.685
- energy relative to the elements, uncorrected (eV per atom) = 2.37

---

## Ti2VRh (PBE)

Data for Ti2VRh after structural relaxation.

```
data_Ti2VRh
_chemical_formula_sum 'Ti4 V2 Rh2'
_symmetry_space_group_name_H-M 'I m m m'
_symmetry_Int_Tables_number 71
_symmetry_space_group_name_Hall '-I 2 2'
_cell_length_a 2.7216
_cell_length_b 4.6775
_cell_length_c 10.0183
_cell_angle_alpha 90.00
_cell_angle_beta 90.00
_cell_angle_gamma 90.00
loop_
_atom_site_label
_atom_site_fract_x
_atom_site_fract_y
_atom_site_fract_z
Ti1 0.0000 0.0000 0.2400
V1 0.0000 0.0000 0.5000
Rh1 0.0000 0.0000 0.0000
```

Output
- energy above the lowest structure with this stoichiometry (eV per atom) = 0.649
- ΔE_f (eV/atom) = 0.20

---

## ScVIrI2 (PBE)

Data for ScVIrI2 after structural relaxation.

```
data_ScVIrI2
_chemical_formula_sum 'Sc1 V1 Ir1 I2'
_symmetry_space_group_name_H-M 'P 4/m m m'
_symmetry_Int_Tables_number 123
_symmetry_space_group_name_Hall '-P 4 2'
_cell_length_a 5.2807
_cell_length_b 5.2807
_cell_length_c 4.6929
_cell_angle_alpha 90.00
_cell_angle_beta 90.00
_cell_angle_gamma 90.00
loop_
_atom_site_label
_atom_site_fract_x
_atom_site_fract_y
_atom_site_fract_z
Sc1 0.0000 0.0000 0.0000
V1 0.5000 0.5000 0.5000
Ir1 0.5000 0.5000 0.0000
I1 0.0000 0.5000 0.5000
```

Output
- energy relative to the elements, uncorrected (eV per atom) = 0.55

---

## TaMoP (PBE)

Data for TaMoP after structural relaxation.

```
data_TaMoP
_chemical_formula_sum 'Ta2 Mo2 P2'
_symmetry_space_group_name_H-M 'I 4 m m'
_symmetry_Int_Tables_number 107
_symmetry_space_group_name_Hall 'I 4 -2'
_cell_length_a 3.0161
_cell_length_b 3.0161
_cell_length_c 10.2069
_cell_angle_alpha 90.00
_cell_angle_beta 90.00
_cell_angle_gamma 90.00
loop_
_atom_site_label
_atom_site_fract_x
_atom_site_fract_y
_atom_site_fract_z
Ta1 0.0000 0.0000 0.0000
Mo1 0.0000 0.0000 0.2844
P1 0.0000 0.0000 0.6613
```

Output
- ΔE_f (eV/atom) = -0.21

---

## MgCd2Sn (PBE)

Data for MgCd2Sn after structural relaxation.

```
data_MgCd2Sn
_chemical_formula_sum 'Mg1 Cd2 Sn1'
_symmetry_space_group_name_H-M 'P 4/m m m'
_symmetry_Int_Tables_number 123
_symmetry_space_group_name_Hall '-P 4 2'
_cell_length_a 4.4698
_cell_length_b 4.4698
_cell_length_c 4.6709
_cell_angle_alpha 90.00
_cell_angle_beta 90.00
_cell_angle_gamma 90.00
loop_
_atom_site_label
_atom_site_fract_x
_atom_site_fract_y
_atom_site_fract_z
Mg1 0.0000 0.0000 0.0000
Cd1 0.0000 0.5000 0.5000
Sn1 0.5000 0.5000 0.0000
```

Output
- energy above the lowest structure with this stoichiometry (eV per atom) = 0.000
- ΔE_f (eV/atom) = -0.03

---

| no. | uncorrected energy (eV per cell) |
| --- | --- |
| 1 | -64.3 |
| 2 | -17.6 |
| 3 | -62.9 |
| 4 | -24.7 |
| 5 | -57.4 |
| 6 | -7.6 |